Computed, not measured: an optimized crystal structure of Na2MnCl4 at the PBE level of DFT.

## Properties
energy above the lowest structure with this stoichiometry: 41 meV/atom
total moment: 5.00 μB per formula unit
raw formation energy: -1.46 eV/atom

a b c (Å): 7.144 7.144 7.089
angles (deg): 117.67 117.67 31.82
Sites, in units of the cell vectors:
Na  0.206  0.206  0.192
Na  0.794  0.794  0.808
Mn  0.500  0.500  0.500
Cl  0.129  0.129  0.494
Cl  0.392  0.392  0.109
Cl  0.608  0.608  0.891
Cl  0.871  0.871  0.506

=====

Computed, not measured: an optimized crystal structure of NaMnCl3 at the PBE level of DFT.

## Properties
energy above the lowest structure with this stoichiometry: 38 meV/atom
total moment: 5.00 μB per formula unit
raw formation energy: -1.33 eV/atom

a b c (Å): 7.625 11.745 6.394
angles (deg): 90.00 90.00 90.00
Sites, in units of the cell vectors:
Na  0.000  0.000  0.000
Na  0.000  0.500  0.000
Na  0.500  0.000  0.500
Na  0.500  0.500  0.500
Mn  0.186  0.250  0.465
Mn  0.314  0.750  0.965
Mn  0.686  0.250  0.035
Mn  0.814  0.750  0.535
Cl  0.002  0.750  0.839
Cl  0.182  0.080  0.644
Cl  0.182  0.420  0.644
Cl  0.318  0.580  0.144
Cl  0.318  0.920  0.144
Cl  0.498  0.250  0.339
Cl  0.502  0.750  0.661
Cl  0.682  0.080  0.856
Cl  0.682  0.420  0.856
Cl  0.818  0.580  0.356
Cl  0.818  0.920  0.356
Cl  0.998  0.250  0.161

=====

Computed, not measured: an optimized crystal structure of NaMnCl3 at the PBE level of DFT.

## Properties
energy above the lowest structure with this stoichiometry: 8 meV/atom
total moment: 5.00 μB per formula unit
raw formation energy: -1.36 eV/atom

a b c (Å): 4.055 11.644 11.644
angles (deg): 146.69 90.00 90.00
Sites, in units of the cell vectors:
Na  0.250  0.179  0.821
Na  0.750  0.821  0.179
Mn  0.250  0.324  0.565
Mn  0.750  0.565  0.324
Cl  0.250  0.062  0.490
Cl  0.250  0.390  0.237
Cl  0.250  0.668  0.912
Cl  0.750  0.237  0.390
Cl  0.750  0.490  0.062
Cl  0.750  0.912  0.668